Entry from Alexandria: an optimized crystal structure of Rb12Ga3F5 (GGA-PBE).

N(E_F) = 10.8 states/eV/f.u.
Crystal system = cubic
Magnetization = 5.013 μB/f.u.
Raw formation energy = -1.160 eV/atom

Lattice parameters (Å, degrees): 16.293 16.293 16.293 109.47 109.47 109.47
Site moments in Bohr magnetons follow the coordinates.
Positions (direct):
Ga 0.750 0.375 0.125  0.32
Ga 0.875 0.750 0.125  0.32
Ga 0.375 0.750 0.625  0.32
Ga 0.250 0.125 0.375  0.32
Ga 0.875 0.125 0.250  0.32
Ga 0.375 0.625 0.250  0.32
Ga 0.625 0.375 0.750  0.32
Ga 0.125 0.875 0.750  0.32
Ga 0.750 0.875 0.625  0.32
Ga 0.625 0.250 0.375  0.32
Ga 0.125 0.250 0.875  0.32
Ga 0.250 0.625 0.875  0.32
F 0.125 0.375 0.250  0.01
F 0.000 0.500 0.000  0.01
F 0.000 0.000 0.000  0.01
F 0.375 0.250 0.125  0.01
F 0.500 0.000 0.500  0.01
F 0.500 0.500 0.000  0.01
F 0.125 0.750 0.375  0.01
F 0.750 0.125 0.875  0.01
F 0.750 0.625 0.375  0.01
F 0.375 0.125 0.750  0.01
F 0.625 0.875 0.250  0.01
F 0.500 0.500 0.500  0.01
F 0.500 0.000 0.000  0.01
F 0.000 0.000 0.500  0.01
F 0.250 0.375 0.625  0.01
F 0.250 0.875 0.125  0.01
F 0.000 0.500 0.500  0.01
F 0.875 0.250 0.625  0.01
F 0.625 0.750 0.875  0.01
F 0.875 0.625 0.750  0.01
Rb 0.696 0.114 0.013  0.02
Rb 0.317 0.513 0.399  0.02
Rb 0.987 0.386 0.304  0.02
Rb 0.513 0.196 0.114  0.02
Rb 0.582 0.696 0.683  0.02
Rb 0.987 0.601 0.183  0.02
Rb 0.317 0.804 0.418  0.02
Rb 0.101 0.918 0.114  0.02
Rb 0.601 0.987 0.683  0.02
Rb 0.696 0.582 0.183  0.02
Rb 0.804 0.487 0.386  0.02
Rb 0.817 0.899 0.013  0.02
Rb 0.114 0.696 0.513  0.02
Rb 0.386 0.399 0.082  0.02
Rb 0.082 0.899 0.386  0.02
Rb 0.418 0.114 0.601  0.02
Rb 0.082 0.183 0.196  0.02
Rb 0.487 0.683 0.101  0.02
Rb 0.817 0.918 0.304  0.02
Rb 0.114 0.418 0.101  0.02
Rb 0.386 0.987 0.804  0.02
Rb 0.601 0.614 0.418  0.02
Rb 0.899 0.817 0.513  0.02
Rb 0.804 0.317 0.918  0.02
Rb 0.399 0.386 0.582  0.02
Rb 0.101 0.183 0.487  0.02
Rb 0.196 0.683 0.082  0.02
Rb 0.183 0.082 0.696  0.02
Rb 0.614 0.013 0.196  0.02
Rb 0.886 0.582 0.899  0.02
Rb 0.513 0.317 0.899  0.02
Rb 0.582 0.886 0.399  0.02
Rb 0.918 0.817 0.804  0.02
Rb 0.918 0.101 0.614  0.02
Rb 0.886 0.304 0.487  0.02
Rb 0.183 0.101 0.987  0.02
Rb 0.614 0.601 0.918  0.02
Rb 0.399 0.013 0.317  0.02
Rb 0.304 0.418 0.817  0.02
Rb 0.196 0.513 0.614  0.02
Rb 0.899 0.082 0.886  0.02
Rb 0.683 0.196 0.582  0.02
Rb 0.487 0.804 0.886  0.02
Rb 0.013 0.399 0.817  0.02
Rb 0.418 0.304 0.317  0.02
Rb 0.013 0.614 0.696  0.02
Rb 0.683 0.487 0.601  0.02
Rb 0.304 0.886 0.987  0.02